1.
Here is AgPt3Br after structural relaxation from Alexandria via LeMat-Bulk. Energies are from PBE.

```
AgPt3Br
1.0
-0.668 4.128 2.216
0.664 -2.132 4.173
4.638 0.900 -0.278
Br Pt Ag
1 3 1
direct
0.000 0.000 0.000
0.000 0.000 0.500
0.000 0.500 0.000
0.500 0.000 0.000
0.500 0.500 0.500
```

Computed properties:
Calculated volume, Å³/cell: 106.02
VASP energy, eV for the cell shown: -17.344
DOS at the Fermi energy, states/eV/atom: 0.173

=====

2.
Here is Ag3PtBr after structural relaxation from Alexandria via LeMat-Bulk. Energies are from PBE.

```
Ag3PtBr
1.0
5.037 0.000 0.000
0.000 5.037 0.000
0.000 0.000 5.037
Pt Ag Br
1 3 1
direct
0.500 0.500 0.500
0.500 0.000 0.000
0.000 0.500 0.000
0.000 0.000 0.500
0.000 0.000 0.000
```

Computed properties:
Calculated volume, Å³/cell: 127.76
VASP energy, eV for the cell shown: -11.520
DOS at the Fermi energy, states/eV/atom: 0.255

=====

3.
Here is AgPtBr2 after structural relaxation from Alexandria via LeMat-Bulk. Energies are from PBE.

```
AgPtBr2
1.0
-5.051 2.186 -1.658
-2.585 -2.629 4.409
-2.725 5.276 5.294
Br Pt Ag
4 2 2
direct
0.375 0.345 0.750
0.095 0.625 0.250
0.875 0.905 0.750
0.655 0.125 0.250
0.750 0.250 0.500
0.000 0.000 0.000
0.250 0.750 0.500
0.500 0.500 0.000
```

Computed properties:
Calculated volume, Å³/cell: 225.96
VASP energy, eV for the cell shown: -22.650
DOS at the Fermi energy, states/eV/atom: 0.778

=====

4.
Here is Ag2PtBr8 after structural relaxation from Alexandria via LeMat-Bulk. Energies are from PBE.

```
Ag2PtBr8
1.0
-1.761 -5.737 3.741
5.319 -6.072 -1.523
3.455 0.347 7.445
Br Ag Pt
8 2 1
direct
0.825 0.774 0.090
0.688 0.217 0.217
0.825 0.090 0.774
0.175 0.226 0.910
0.832 0.597 0.597
0.312 0.783 0.783
0.168 0.403 0.403
0.175 0.910 0.226
0.609 0.856 0.856
0.391 0.144 0.144
0.000 0.000 0.000
```

Computed properties:
Calculated volume, Å³/cell: 421.47
VASP energy, eV for the cell shown: -27.530

=====

5.
Here is AgPtBr after structural relaxation from Alexandria via LeMat-Bulk. Energies are from PBE.

```
AgPtBr
1.0
-1.158 3.288 -2.893
0.977 -4.143 -1.552
-3.193 -0.864 0.296
Br Pt Ag
1 1 1
direct
0.333 0.667 0.500
0.667 0.333 0.501
0.000 0.000 0.999
```

Computed properties:
Calculated volume, Å³/cell: 59.02
VASP energy, eV for the cell shown: -9.314
DOS at the Fermi energy, states/eV/atom: 0.582

=====

6.
Here is AgPtBr after structural relaxation from Alexandria via LeMat-Bulk. Energies are from PBE.

```
AgPtBr
1.0
-2.123 -0.043 6.434
-4.062 -1.931 4.632
2.102 -1.675 1.832
Ag Br Pt
1 1 1
direct
0.993 0.993 0.007
0.676 0.676 0.324
0.331 0.331 0.669
```

Computed properties:
Calculated volume, Å³/cell: 60.19
VASP energy, eV for the cell shown: -9.344
DOS at the Fermi energy, states/eV/atom: 0.693

=====

Question: The lowest calculated volume belongs to which entry?
Answer: number 5

=====

Question: calculated volume of number 5 (AgPtBr)?
Answer: 59.02 Å³/cell